Below is a relaxed structure of AcPr2Zn2Ga2, with properties calculated at the PBE level.

Cell lengths 4.5613, 4.5613, 10.4326 Å; angles 77.37, 77.37, 60.00 degrees
Closest atoms and distances in Å follow each position.
Fractional positions:
Zn 0.5922 0.5922 0.2234  3 Ga 2.63
Zn 0.4078 0.4078 0.7766  3 Ga 2.63
Ga 0.2579 0.2579 0.2264  3 Zn 2.63
Pr 0.8702 0.8702 0.3895  3 Ga 3.11, 3 Zn 3.12, 3 Pr 3.45
Ga 0.7421 0.7421 0.7736  3 Zn 2.63
Ac 0.0000 0.0000 0.0000  6 Zn 3.47, 6 Ga 3.49
Pr 0.1298 0.1298 0.6105  3 Ga 3.11, 3 Zn 3.12, 3 Pr 3.45

Summary:
V	181.9	Å³/f.u.
space-group type	R-3m (166)
formation energy	-0.381	eV per atom



Below is a relaxed structure of AcPrZn2Ga2, with properties calculated at the PBE level.

Cell lengths 4.5571, 4.5571, 8.0729 Å; angles 90.00, 90.00, 120.00 degrees
Closest atoms and distances in Å follow each position.
Fractional positions:
Ac 0.0000 0.0000 0.0000  6 Ga 3.44, 6 Zn 3.49
Zn 0.6667 0.3333 0.7164  3 Ga 2.63
Ga 0.6667 0.3333 0.2751  3 Zn 2.63
Zn 0.3333 0.6667 0.2836  3 Ga 2.63
Ga 0.3333 0.6667 0.7249  3 Zn 2.63
Pr 0.0000 0.0000 0.5000  6 Zn 3.16, 6 Ga 3.20

Summary:
V	145.2	Å³/f.u.
space-group type	P-3m1 (164)
formation energy	-0.510	eV per atom



Below is a relaxed structure of AcGaPt3, with properties calculated at the PBE level.

Cell lengths 4.2741, 4.2739, 6.3647 Å; angles 70.45, 70.44, 90.00 degrees
Closest atoms and distances in Å follow each position.
Fractional positions:
Ga 0.0255 0.8290 0.6541  5 Pt 2.45-2.52
Pt 0.1446 0.4473 0.4169  2 Ga 2.52, 2 Pt 2.81
Pt 0.8075 0.6109 0.0907  1 Ga 2.45
Ac 0.3864 0.1899 0.9324  8 Pt 3.15-3.46, 4 Ga 3.40
Pt 0.6439 0.9481 0.4169  2 Ga 2.52, 2 Pt 2.81

Summary:
V	102.4	Å³/f.u.
E above lowest polymorph	0.0	kJ/mol of atoms
space-group type	Fmm2 (42)
formation energy	-0.929	eV per atom



Below is a relaxed structure of AcGa2Pt8, with properties calculated at the PBE level.

Cell lengths 5.3597, 5.3597, 8.4764 Å; angles 90.00, 90.00, 90.00 degrees
Closest atoms and distances in Å follow each position.
Fractional positions:
Pt 0.2470 0.7530 0.2099  2 Ga 2.60, 4 Pt 2.65-2.71
Pt 0.2470 0.7530 0.7901  2 Ga 2.60, 4 Pt 2.65-2.71
Ga 0.5000 0.0000 0.0000  8 Pt 2.60
Ac 0.5000 0.5000 0.5000  8 Pt 3.12
Ga 0.0000 0.5000 0.0000  8 Pt 2.60
Pt 0.7530 0.2470 0.2099  2 Ga 2.60, 4 Pt 2.65-2.71
Pt 0.2470 0.2470 0.2099  2 Ga 2.60, 4 Pt 2.65-2.71
Pt 0.2470 0.2470 0.7901  2 Ga 2.60, 4 Pt 2.65-2.71
Pt 0.7530 0.7530 0.7901  2 Ga 2.60, 4 Pt 2.65-2.71
Pt 0.7530 0.7530 0.2099  2 Ga 2.60, 4 Pt 2.65-2.71
Pt 0.7530 0.2470 0.7901  2 Ga 2.60, 4 Pt 2.65-2.71

Summary:
V	243.5	Å³/f.u.
space-group type	P4/mmm (123)
formation energy	-0.296	eV per atom



Below is a relaxed structure of AcGa4Pt8, with properties calculated at the PBE level.

Cell lengths 5.5161, 6.9058, 6.9058 Å; angles 80.82, 66.46, 66.46 degrees
Closest atoms and distances in Å follow each position.
Fractional positions:
Pt 0.2713 0.2287 0.2287  4 Ga 2.64, 6 Pt 2.83-2.93
Pt 0.7287 0.7713 0.7713  4 Ga 2.64, 6 Pt 2.83-2.93
Pt 0.6615 0.3385 0.3385  4 Ga 2.75, 5 Pt 2.83-2.93, 1 Ac 3.03
Pt 0.5000 0.2287 0.7713  4 Ga 2.64, 6 Pt 2.83-2.93
Ga 0.0000 0.5000 0.0000  8 Pt 2.64-2.75, 2 Ga 2.76
Ga 0.5000 0.0000 0.5000  8 Pt 2.64-2.75, 2 Ga 2.76
Ga 0.5000 0.5000 0.0000  8 Pt 2.64-2.75, 2 Ga 2.76
Pt 0.5000 0.7713 0.2287  4 Ga 2.64, 6 Pt 2.83-2.93
Pt 0.3385 0.6615 0.6615  4 Ga 2.75, 5 Pt 2.83-2.93, 1 Ac 3.03
Ac 0.0000 0.0000 0.0000  4 Pt 3.03
Pt 0.0000 0.6615 0.3385  4 Ga 2.75, 5 Pt 2.83-2.93, 1 Ac 3.03
Ga 0.0000 0.0000 0.5000  8 Pt 2.64-2.75, 2 Ga 2.76
Pt 0.0000 0.3385 0.6615  4 Ga 2.75, 5 Pt 2.83-2.93, 1 Ac 3.03

Summary:
V	221.1	Å³/f.u.
space-group type	I4/mmm (139)
formation energy	-0.639	eV per atom



Below is a relaxed structure of Ac2GaPt7, with properties calculated at the PBE level.

Cell lengths 4.1887, 4.1887, 12.0191 Å; angles 90.00, 90.00, 90.00 degrees
Closest atoms and distances in Å follow each position.
Fractional positions:
Pt 0.0000 0.5000 0.6505  5 Pt 2.58-2.77
Pt 0.5000 0.5000 0.5000  8 Pt 2.77-2.96
Ga 0.5000 0.5000 0.0000  8 Pt 2.64-2.96
Pt 0.0000 0.0000 0.5000  8 Pt 2.77-2.96
Pt 0.5000 0.0000 0.1344  3 Pt 2.58-2.64, 2 Ga 2.64
Pt 0.0000 0.5000 0.8656  3 Pt 2.58-2.64, 2 Ga 2.64
Ac 0.0000 0.5000 0.2689  12 Pt 3.12-3.48
Ac 0.5000 0.0000 0.7311  12 Pt 3.12-3.48
Pt 0.0000 0.0000 0.0000  4 Pt 2.64, 4 Ga 2.96
Pt 0.5000 0.0000 0.3495  5 Pt 2.58-2.77

Summary:
V	210.9	Å³/f.u.
space-group type	P-4m2 (115)
formation energy	-0.719	eV per atom